Entry 1:
Density functional theory data (PBE) for a relaxed ZrInPb crystal.

The space group is P3m1 (No. 156) and the conventional cell measures 3.3586, 3.3586 and 7.8364 Å, with angles of 90.00, 90.00 and 120.00 degrees. The inequivalent atoms are Zr at (0.0000, 0.0000, 0.0000), In at (0.3333, 0.6667, 0.3115) and Pb at (0.6667, 0.3333, 0.6697).

Its formation energy is -0.008 eV per atom. The calculation puts the total moment at 0.00 Bohr magnetons per cell. The energy above the most stable polymorph in this dataset comes out at 0.0817 eV/atom. The calculation puts the total energy at -15.02 eV/cell.

---

Entry 2:
Density functional theory data (PBE) for a relaxed NiBi2Sb crystal.

The space group is R-3m (No. 166, hexagonal axes) and the conventional cell measures 3.6185, 3.6185 and 29.1061 Å, with angles of 90.00, 90.00 and 120.00 degrees. The inequivalent atoms are Ni at (0.0000, 0.0000, 0.0000), Bi at (0.0000, 0.0000, 0.3901) and Sb at (0.0000, 0.0000, 0.5000).

The value obtained for the formation energy (no corrections) is 16.2 kJ per mole of atoms. The calculation puts the total moment at 0.00 Bohr magnetons per cell. The calculation puts the total energy at -50.99 eV/cell.

---

Entry 3:
Density functional theory data (PBE) for a relaxed Zr2MnRe crystal.

The space group is P4/mmm (No. 123) and the conventional cell measures 3.310, 3.310 and 6.521 Å, with angles of 90.00, 90.00 and 90.00 degrees. The inequivalent atoms are Zr at (0.000, 0.000, 0.248), Mn at (0.500, 0.500, 0.500) and Re at (0.500, 0.500, 0.000).

Its formation energy is -0.113 eV per atom. The calculation puts the total moment at 2.04 Bohr magnetons per cell. The calculation puts the total energy at -39.17 eV/cell.